DFT (SCAN) results for HgPbW2 at its PBEsol-relaxed geometry.

Structure (CIF):
```
data_HgPbW2
_cell_length_a 3.0005
_cell_length_b 3.0005
_cell_length_c 28.4082
_cell_angle_alpha 90.00
_cell_angle_beta 90.00
_cell_angle_gamma 120.00
_space_group_name_H-M_alt 'R -3 m'
_space_group_IT_number 166
_space_group_name_Hall '-R 3 2"'
loop_
_atom_site_label
_atom_site_type_symbol
_atom_site_fract_x
_atom_site_fract_y
_atom_site_fract_z
Hg1 Hg 0.0000 0.0000 0.0000
Pb1 Pb 0.0000 0.0000 0.5000
W1 W 0.0000 0.0000 0.2515
```

## Properties
crystal system: trigonal
calculated formation energy: 1.130 eV per atom
total magnetic moment: 0.00 μB/f.u.
total DFT energy (no corrections): -69.7012 eV per atom
E above lowest polymorph: 0.133 eV/atom

DFT (SCAN) results for Hg2PbW at its PBEsol-relaxed geometry.

Structure (CIF):
```
data_Hg2PbW
_cell_length_a 4.1951
_cell_length_b 4.1951
_cell_length_c 4.6500
_cell_angle_alpha 90.00
_cell_angle_beta 90.00
_cell_angle_gamma 90.00
_space_group_name_H-M_alt 'P 4/m m m'
_space_group_IT_number 123
_space_group_name_Hall '-P 4 2'
loop_
_atom_site_label
_atom_site_type_symbol
_atom_site_fract_x
_atom_site_fract_y
_atom_site_fract_z
Hg1 Hg 0.0000 0.5000 0.0000
Pb1 Pb 0.0000 0.0000 0.5000
W1 W 0.5000 0.5000 0.5000
```

## Properties
crystal system: tetragonal
calculated formation energy: 1.026 eV per atom
total magnetic moment: 1.52 μB/f.u.
total DFT energy (no corrections): -69.4244 eV per atom

DFT (SCAN) results for Hg2PbW at its PBEsol-relaxed geometry.

Structure (CIF):
```
data_Hg2PbW
_cell_length_a 2.8811
_cell_length_b 4.8519
_cell_length_c 13.6626
_cell_angle_alpha 90.00
_cell_angle_beta 90.00
_cell_angle_gamma 90.00
_space_group_name_H-M_alt 'I m m 2'
_space_group_IT_number 44
loop_
_space_group_symop_operation_xyz
'x,y,z'
'-x,-y,z'
'-x,y,z'
'x,-y,z'
'x+1/2,y+1/2,z+1/2'
'-x+1/2,-y+1/2,z+1/2'
'-x+1/2,y+1/2,z+1/2'
'x+1/2,-y+1/2,z+1/2'
loop_
_atom_site_label
_atom_site_type_symbol
_atom_site_fract_x
_atom_site_fract_y
_atom_site_fract_z
Hg1 Hg 0.0000 0.0000 0.0000
Hg2 Hg 0.0000 0.5000 0.1698
Pb1 Pb 0.0000 0.5000 0.8028
W1 W 0.0000 0.0000 0.4894
```

## Properties
crystal system: orthorhombic
calculated formation energy: 0.677 eV per atom
total magnetic moment: 0.01 μB/f.u.
total DFT energy (no corrections): -69.7737 eV per atom

DFT (SCAN) results for HgPb3W at its PBEsol-relaxed geometry.

Structure (CIF):
```
data_HgPb3W
_cell_length_a 5.3502
_cell_length_b 5.3502
_cell_length_c 5.3502
_cell_angle_alpha 90.00
_cell_angle_beta 90.00
_cell_angle_gamma 90.00
_space_group_name_H-M_alt 'P m -3 m'
_space_group_IT_number 221
_space_group_name_Hall '-P 4 2 3'
loop_
_atom_site_label
_atom_site_type_symbol
_atom_site_fract_x
_atom_site_fract_y
_atom_site_fract_z
Hg1 Hg 0.0000 0.0000 0.0000
Pb1 Pb 0.0000 0.5000 0.5000
W1 W 0.5000 0.5000 0.5000
```

## Properties
crystal system: cubic
calculated formation energy: 0.442 eV per atom
total magnetic moment: 0.00 μB/f.u.
total DFT energy (no corrections): -72.5978 eV per atom

DFT (SCAN) results for HgPbW at its PBEsol-relaxed geometry.

Structure (CIF):
```
data_HgPbW
_cell_length_a 6.5927
_cell_length_b 6.5927
_cell_length_c 6.5927
_cell_angle_alpha 90.00
_cell_angle_beta 90.00
_cell_angle_gamma 90.00
_space_group_name_H-M_alt 'F -4 3 m'
_space_group_IT_number 216
_space_group_name_Hall 'F -4 2 3'
loop_
_atom_site_label
_atom_site_type_symbol
_atom_site_fract_x
_atom_site_fract_y
_atom_site_fract_z
Hg1 Hg 0.0000 0.0000 0.0000
Pb1 Pb 0.0000 0.0000 0.5000
W1 W 0.2500 0.2500 0.7500
```

## Properties
crystal system: cubic
calculated formation energy: 1.170 eV per atom
total magnetic moment: 2.15 μB/f.u.
total DFT energy (no corrections): -70.0413 eV per atom
E above lowest polymorph: 0.000 eV/atom

DFT (SCAN) results for HgPbW at its PBEsol-relaxed geometry.

Structure (CIF):
```
data_HgPbW
_cell_length_a 4.9311
_cell_length_b 4.9311
_cell_length_c 2.9308
_cell_angle_alpha 90.00
_cell_angle_beta 90.00
_cell_angle_gamma 120.00
_space_group_name_H-M_alt 'P -6 m 2'
_space_group_IT_number 187
_space_group_name_Hall 'P -6 2'
loop_
_atom_site_label
_atom_site_type_symbol
_atom_site_fract_x
_atom_site_fract_y
_atom_site_fract_z
Hg1 Hg 0.0000 0.0000 0.0000
Pb1 Pb 0.3333 0.6667 0.5000
W1 W 0.6667 0.3333 0.5000
```

## Properties
crystal system: hexagonal
calculated formation energy: 1.218 eV per atom
total magnetic moment: 0.00 μB/f.u.
total DFT energy (no corrections): -69.9936 eV per atom
E above lowest polymorph: 0.048 eV/atom

DFT (SCAN) results for HgPbW2 at its PBEsol-relaxed geometry.

Structure (CIF):
```
data_HgPbW2
_cell_length_a 3.2980
_cell_length_b 4.8403
_cell_length_c 9.7242
_cell_angle_alpha 90.00
_cell_angle_beta 90.00
_cell_angle_gamma 90.00
_space_group_name_H-M_alt 'I m m 2'
_space_group_IT_number 44
loop_
_space_group_symop_operation_xyz
'x,y,z'
'-x,-y,z'
'-x,y,z'
'x,-y,z'
'x+1/2,y+1/2,z+1/2'
'-x+1/2,-y+1/2,z+1/2'
'-x+1/2,y+1/2,z+1/2'
'x+1/2,-y+1/2,z+1/2'
loop_
_atom_site_label
_atom_site_type_symbol
_atom_site_fract_x
_atom_site_fract_y
_atom_site_fract_z
Hg1 Hg 0.0000 0.0000 0.0000
Pb1 Pb 0.0000 0.5000 0.7763
W1 W 0.0000 0.0000 0.5421
W2 W 0.0000 0.5000 0.2357
```

## Properties
crystal system: orthorhombic
calculated formation energy: 0.996 eV per atom
total magnetic moment: 0.00 μB/f.u.
total DFT energy (no corrections): -69.8343 eV per atom
E above lowest polymorph: 0.000 eV/atom

DFT (SCAN) results for YHgPb at its PBEsol-relaxed geometry.

Structure (CIF):
```
data_YHgPb
_cell_length_a 4.8485
_cell_length_b 4.8485
_cell_length_c 3.7761
_cell_angle_alpha 90.00
_cell_angle_beta 90.00
_cell_angle_gamma 120.00
_space_group_name_H-M_alt 'P 3 m 1'
_space_group_IT_number 156
loop_
_space_group_symop_operation_xyz
'x,y,z'
'-y,x-y,z'
'-x+y,-x,z'
'-y,-x,z'
'-x+y,y,z'
'x,x-y,z'
loop_
_atom_site_label
_atom_site_type_symbol
_atom_site_fract_x
_atom_site_fract_y
_atom_site_fract_z
Y1 Y 0.0000 0.0000 0.0000
Hg1 Hg 0.3333 0.6667 0.3125
Pb1 Pb 0.6667 0.3333 0.5948
```

## Properties
crystal system: trigonal
calculated formation energy: -0.566 eV per atom
total magnetic moment: 0.00 μB/f.u.
total DFT energy (no corrections): -57.8298 eV per atom